{"formula": "Mg5Zr12Sn3", "functional": "GGA-PBE", "state": "optimized geometry", "magnetic_moment_mub_per_atom": 0.000, "formation_enthalpy_0k_ev_per_fu": 14.6, "lattice": [[14.588, 0.000, 0.000], [-4.863, 13.753, 0.000], [-4.863, -6.877, 11.911]], "species": ["Zr", "Zr", "Zr", "Zr", "Zr", "Zr", "Zr", "Zr", "Zr", "Zr", "Zr", "Zr", "Zr", "Zr", "Zr", "Zr", "Zr", "Zr", "Zr", "Zr", "Zr", "Zr", "Zr", "Zr", "Zr", "Zr", "Zr", "Zr", "Zr", "Zr", "Zr", "Zr", "Zr", "Zr", "Zr", "Zr", "Zr", "Zr", "Zr", "Zr", "Zr", "Zr", "Zr", "Zr", "Zr", "Zr", "Zr", "Zr", "Mg", "Mg", "Mg", "Mg", "Mg", "Mg", "Mg", "Mg", "Mg", "Mg", "Mg", "Mg", "Mg", "Mg", "Mg", "Mg", "Mg", "Mg", "Mg", "Mg", "Sn", "Sn", "Sn", "Sn", "Sn", "Sn", "Sn", "Sn", "Sn", "Sn", "Sn", "Sn"], "frac_coords": [[0.775, 0.347, 0.922], [0.073, 0.647, 0.725], [0.422, 0.147, 0.575], [0.725, 0.578, 0.153], [0.925, 0.078, 0.853], [0.653, 0.427, 0.575], [0.927, 0.575, 0.153], [0.573, 0.225, 0.147], [0.147, 0.422, 0.075], [0.225, 0.653, 0.078], [0.075, 0.922, 0.147], [0.425, 0.353, 0.578], [0.353, 0.927, 0.775], [0.647, 0.575, 0.922], [0.075, 0.153, 0.427], [0.575, 0.927, 0.653], [0.427, 0.653, 0.075], [0.425, 0.073, 0.347], [0.853, 0.578, 0.925], [0.647, 0.073, 0.225], [0.347, 0.775, 0.422], [0.847, 0.925, 0.073], [0.575, 0.647, 0.422], [0.153, 0.075, 0.927], [0.078, 0.925, 0.353], [0.573, 0.347, 0.925], [0.347, 0.573, 0.425], [0.725, 0.147, 0.073], [0.422, 0.275, 0.347], [0.073, 0.425, 0.847], [0.578, 0.725, 0.653], [0.925, 0.847, 0.573], [0.847, 0.922, 0.275], [0.275, 0.853, 0.927], [0.922, 0.847, 0.775], [0.225, 0.573, 0.647], [0.927, 0.353, 0.275], [0.275, 0.422, 0.847], [0.153, 0.078, 0.725], [0.147, 0.725, 0.573], [0.353, 0.425, 0.078], [0.578, 0.853, 0.425], [0.427, 0.775, 0.853], [0.922, 0.075, 0.647], [0.775, 0.427, 0.353], [0.653, 0.225, 0.578], [0.853, 0.275, 0.427], [0.078, 0.153, 0.225], [0.000, 0.500, 0.000], [0.875, 0.250, 0.625], [0.500, 0.000, 0.500], [0.500, 0.000, 0.000], [0.500, 0.500, 0.500], [0.750, 0.625, 0.375], [0.500, 0.500, 0.000], [0.250, 0.375, 0.625], [0.000, 0.500, 0.500], [0.875, 0.625, 0.750], [0.250, 0.875, 0.125], [0.375, 0.125, 0.750], [0.750, 0.125, 0.875], [0.375, 0.250, 0.125], [0.125, 0.375, 0.250], [0.000, 0.000, 0.000], [0.625, 0.750, 0.875], [0.125, 0.750, 0.375], [0.000, 0.000, 0.500], [0.625, 0.875, 0.250], [0.250, 0.125, 0.375], [0.625, 0.250, 0.375], [0.875, 0.750, 0.125], [0.125, 0.875, 0.750], [0.875, 0.125, 0.250], [0.750, 0.375, 0.125], [0.625, 0.375, 0.750], [0.250, 0.625, 0.875], [0.750, 0.875, 0.625], [0.375, 0.750, 0.625], [0.125, 0.250, 0.875], [0.375, 0.625, 0.250]]}